No. 1
The following is a PBE calculation of a relaxed CsCdTeI2 crystal, from Alexandria.

The structure belongs to space group P4/mmm (No. 123); the cell edges are 7.088, 7.088 and 6.715 Å and the angles 90.00°, 90.00° and 90.00°. The asymmetric unit holds Cs at (0.000, 0.000, 0.000), Cd at (0.500, 0.500, 0.500), Te at (0.000, 0.000, 0.500) and I at (0.000, 0.500, 0.000).

Its uncorrected formation energy is 0.24 eV/atom. Its energy relative to the lowest polymorph listed for this composition is 864 meV/atom.

No. 2
The following is a PBE calculation of a relaxed KCdAgPb crystal, from Alexandria.

The structure belongs to space group F-43m (No. 216); the cell edges are 7.614, 7.614 and 7.614 Å and the angles 90.00°, 90.00° and 90.00°. The asymmetric unit holds K at (0.000, 0.000, 0.000), Cd at (0.250, 0.250, 0.250), Ag at (0.250, 0.250, 0.750) and Pb at (0.000, 0.000, 0.500).

As for the energy of formation: 0.045 eV/atom.